Record 1
## SrCo4Ru (GGA-PBE)

Data for a relaxed structure of SrCo4Ru.

Unit cell a=4.9954 b=4.9954 c=4.9954 alpha=60.00 beta=60.00 gamma=60.00
With the nearest neighbours (Å) after each atom.
Positions (direct):
Sr 0.0000 0.0000 0.0000  12 Co 2.93, 4 Ru 3.06
Co 0.8709 0.3764 0.3764  6 Co 2.47-2.52
Co 0.3764 0.3764 0.8709  6 Co 2.47-2.52
Co 0.3764 0.8709 0.3764  6 Co 2.47-2.52
Co 0.3764 0.3764 0.3764  6 Co 2.47-2.52
Ru 0.7500 0.7500 0.7500  12 Co 2.93, 4 Sr 3.06

Symmetry   F-43m (216)
Uncorrected energy   -6.126 eV/atom
Calculated formation energy   0.437 eV per atom

Record 2
## Li4TlPd (GGA-PBE)

Data for a relaxed structure of Li4TlPd.

Unit cell a=5.0940 b=7.0045 c=7.1055 alpha=119.53 beta=102.31 gamma=90.00
With the nearest neighbours (Å) after each atom.
Positions (direct):
Li 0.2736 0.6650 0.3300  2 Pd 2.59-2.62, 2 Li 2.76, 1 Tl 2.86
Li 0.4167 0.0783 0.7566  1 Pd 2.56, 2 Li 2.76-2.80
Li 0.0000 0.1960 0.0000  2 Pd 2.57, 1 Li 2.75
Li 0.5833 0.3216 0.2434  1 Pd 2.56, 2 Li 2.76-2.80
Li 0.7264 0.3350 0.6700  2 Pd 2.59-2.62, 2 Li 2.76, 1 Tl 2.86
Li 0.5833 0.9217 0.2434  1 Pd 2.56, 2 Li 2.76-2.80
Li 0.0000 0.8040 0.0000  2 Pd 2.57, 1 Li 2.75
Li 0.4167 0.6784 0.7566  1 Pd 2.56, 2 Li 2.76-2.80
Tl 0.8642 0.7878 0.5756  10 Li 2.86-3.11, 1 Pd 2.88
Tl 0.1358 0.2122 0.4244  10 Li 2.86-3.11, 1 Pd 2.88
Pd 0.2312 0.4516 0.9032  6 Li 2.56-2.62, 1 Pd 2.71
Pd 0.7688 0.5484 0.0968  6 Li 2.56-2.62, 1 Pd 2.71

Symmetry   C2/m (12)
Uncorrected energy   -2.779 eV/atom
Excess energy over the best structure of this formula in the dataset   0.013 eV per atom
Calculated formation energy   -0.243 eV per atom

Record 3
## DyHfH (GGA-PBE)

Data for a relaxed structure of DyHfH.

Unit cell a=5.0809 b=7.2038 c=6.8013 alpha=118.16 beta=90.00 gamma=90.00
With the nearest neighbours (Å) after each atom.
Positions (direct):
H 0.2539 0.3938 0.8220  1 Hf 2.04, 2 Dy 2.20
H 0.7539 0.6062 0.6780  1 Hf 2.04, 2 Dy 2.20
H 0.7461 0.6062 0.1780  1 Hf 2.04, 2 Dy 2.20
H 0.2461 0.3938 0.3220  1 Hf 2.04, 2 Dy 2.20
Hf 0.2500 0.0720 0.6610  1 H 2.04
Hf 0.7500 0.9280 0.8390  1 H 2.04
Hf 0.7500 0.9280 0.3390  1 H 2.04
Hf 0.2500 0.0720 0.1610  1 H 2.04
Dy 0.2494 0.6142 0.6821  2 H 2.20
Dy 0.7494 0.3858 0.8179  2 H 2.20
Dy 0.7506 0.3858 0.3179  2 H 2.20
Dy 0.2506 0.6142 0.1821  2 H 2.20

Symmetry   P2_1/c (14)
Uncorrected energy   -6.142 eV/atom

Number 1: density of states at the Fermi level 8.0 states/eV per cell. Number 2: density of states at the Fermi level 4.2 states/eV per cell. Number 3: density of states at the Fermi level 5.1 states/eV per cell.